No. 1
# PuThP2Pd2 (PBE-GGA, relaxed)
data_PuThP2Pd2
_cell_length_a 4.2157
_cell_length_b 4.2157
_cell_length_c 7.8035
_cell_angle_alpha 90.00
_cell_angle_beta 90.00
_cell_angle_gamma 120.00
_symmetry_space_group_name_H-M 'P -3 m 1'
_symmetry_Int_Tables_number 164
_symmetry_space_group_name_Hall '-P 3 2"'
loop_
_atom_site_label
_atom_site_type_symbol
_atom_site_fract_x
_atom_site_fract_y
_atom_site_fract_z
Pu1 Pu 0.0000 0.0000 0.0000
Th1 Th 0.0000 0.0000 0.5000
P1 P 0.3333 0.6667 0.2538
Pd1 Pd 0.3333 0.6667 0.7533
# Volume   120.1 Å³/cell
# Size of the total moment   5.9 μB per cell
# Mass density   10.38 g cm⁻³
# Formation energy from the elements   -6.38 eV/f.u.
# N(E_F)   1.966 states/eV/atom


No. 2
# Tb5PmYTh2 (PBE-GGA, relaxed)
data_Tb5PmYTh2
_cell_length_a 8.859
_cell_length_b 8.859
_cell_length_c 15.412
_cell_angle_alpha 90.00
_cell_angle_beta 90.00
_cell_angle_gamma 90.00
_symmetry_space_group_name_H-M 'I 4/m c m'
_symmetry_Int_Tables_number 140
_symmetry_space_group_name_Hall '-I 4 2c'
loop_
_atom_site_label
_atom_site_type_symbol
_atom_site_fract_x
_atom_site_fract_y
_atom_site_fract_z
Tb1 Tb 0.000 0.000 0.000
Tb2 Tb 0.210 0.290 0.138
Pm1 Pm 0.000 0.000 0.250
Y1 Y 0.000 0.500 0.250
Th1 Th 0.119 0.381 0.500
# Volume   1209.5 Å³/cell
# Size of the total moment   0.0 μB per cell
# Mass density   8.20 g cm⁻³
# Formation energy from the elements   2.98 eV/f.u.
# N(E_F)   1.422 states/eV/atom


No. 3
# CeUBiO2 (PBE-GGA, relaxed)
data_CeUBiO2
_cell_length_a 3.978
_cell_length_b 3.978
_cell_length_c 12.886
_cell_angle_alpha 90.00
_cell_angle_beta 90.00
_cell_angle_gamma 90.00
_symmetry_space_group_name_H-M 'I 4 m m'
_symmetry_Int_Tables_number 107
_symmetry_space_group_name_Hall 'I 4 -2'
loop_
_atom_site_label
_atom_site_type_symbol
_atom_site_fract_x
_atom_site_fract_y
_atom_site_fract_z
Ce1 Ce 0.000 0.000 0.000
U1 U 0.000 0.000 0.310
Bi1 Bi 0.000 0.000 0.657
O1 O 0.000 0.500 0.398
# Volume   204.0 Å³/cell
# Size of the total moment   6.0 μB per cell
# Raw formation energy   -2307 meV per atom
# Mass density   10.08 g cm⁻³
# N(E_F)   2.274 states/eV/atom


No. 4
# LaDy5Pb5 (PBE-GGA, relaxed)
data_LaDy5Pb5
_cell_length_a 15.669
_cell_length_b 6.344
_cell_length_c 7.548
_cell_angle_alpha 90.00
_cell_angle_beta 102.81
_cell_angle_gamma 90.00
_symmetry_space_group_name_H-M 'C 1 2/m 1'
_symmetry_Int_Tables_number 12
_symmetry_space_group_name_Hall '-C 2y'
loop_
_atom_site_label
_atom_site_type_symbol
_atom_site_fract_x
_atom_site_fract_y
_atom_site_fract_z
La1 La 0.000 0.000 0.000
Dy1 Dy 0.000 0.000 0.500
Dy2 Dy 0.152 0.500 0.343
Dy3 Dy 0.170 0.500 0.847
Pb1 Pb 0.000 0.500 0.000
Pb2 Pb 0.170 0.000 0.350
Pb3 Pb 0.172 0.000 0.806
# Volume   731.6 Å³/cell
# Size of the total moment   1.5 μB per cell
# Mass density   9.02 g cm⁻³
# Formation energy from the elements   -3.05 eV/f.u.
# N(E_F)   0.818 states/eV/atom


No. 5
# LaCr2CuPd (PBE-GGA, relaxed)
data_LaCr2CuPd
_cell_length_a 4.642
_cell_length_b 4.642
_cell_length_c 4.850
_cell_angle_alpha 90.00
_cell_angle_beta 90.00
_cell_angle_gamma 90.00
_symmetry_space_group_name_H-M 'P 4/m m m'
_symmetry_Int_Tables_number 123
_symmetry_space_group_name_Hall '-P 4 2'
loop_
_atom_site_label
_atom_site_type_symbol
_atom_site_fract_x
_atom_site_fract_y
_atom_site_fract_z
La1 La 0.000 0.000 0.000
Cr1 Cr 0.000 0.500 0.500
Cu1 Cu 0.500 0.500 0.500
Pd1 Pd 0.500 0.500 0.000
# Volume   104.5 Å³/cell
# Size of the total moment   8.0 μB per cell
# Mass density   6.56 g cm⁻³
# Formation energy from the elements   2.24 eV/f.u.
# N(E_F)   0.539 states/eV/atom


No. 6
# PmSm2Er4 (PBE-GGA, relaxed)
data_PmSm2Er4
_cell_length_a 4.538
_cell_length_b 4.538
_cell_length_c 22.486
_cell_angle_alpha 90.00
_cell_angle_beta 90.00
_cell_angle_gamma 90.00
_symmetry_space_group_name_H-M 'I 4/m m m'
_symmetry_Int_Tables_number 139
_symmetry_space_group_name_Hall '-I 4 2'
loop_
_atom_site_label
_atom_site_type_symbol
_atom_site_fract_x
_atom_site_fract_y
_atom_site_fract_z
Pm1 Pm 0.000 0.000 0.000
Sm1 Sm 0.000 0.000 0.402
Er1 Er 0.000 0.000 0.140
Er2 Er 0.000 0.500 0.250
# Volume   463.0 Å³/cell
# Size of the total moment   0.0 μB per cell
# Mass density   8.00 g cm⁻³
# Formation energy from the elements   1.91 eV/f.u.
# N(E_F)   1.670 states/eV/atom


- Look up the mass density of the fourth one.
  9.02 g cm⁻³


- Which value of size of the total moment does entry 6 give?
  0.0 μB per cell